Compound: ZrNi3F
Source: the Alexandria database
Functional: PBE with a Hubbard U
Structure: optimized geometry

Geometry as POSCAR:
```
ZrNi3F
1.0
4.191 0.000 0.000
0.000 4.191 0.000
0.000 0.000 4.191
Ni Zr F
3 1 1
Cartesian
0.000 2.096 0.000
0.000 0.000 2.096
2.096 0.000 0.000
2.096 2.096 2.096
0.000 0.000 0.000
```

Calculated values
E above lowest polymorph   0.00 eV/f.u.
Magnetization   0.86 μB/f.u.
Total DFT energy (no corrections)   -16.49 eV/cell